# 1
The following is a DFT calculation (meta-GGA SCAN) of a crystal of ZrCdHg2 relaxed with PBEsol.

Summary:
Crystal system: monoclinic
Total moment (μB per formula unit): 0.00
Energy relative to the elements (meV/atom): -156
DOS(E_F) (states/eV per cell): 1.7

Cell: 3.0642 4.5728 6.1077 Å, 90.00 104.42 90.00°
Element x y z (fractional)
Cd1 0.1971 0.5000 0.7690
Hg1 0.9495 0.5000 0.2741
Hg2 0.8032 0.0000 0.9803
Zr1 0.5503 0.0000 0.4766

***

# 2
The following is a DFT calculation (meta-GGA SCAN) of a crystal of Hg5Au3 relaxed with PBEsol.

Summary:
Crystal system: monoclinic
Total moment (μB per formula unit): 0.00
Energy relative to the elements (meV/atom): 91
DOS(E_F) (states/eV per cell): 3.5
Energy above the lowest structure with this stoichiometry (meV per atom): 8.3

Cell: 5.5480 8.1041 8.0565 Å, 83.50 70.67 69.98°
Element x y z (fractional)
Hg1 0.2907 0.6464 0.8050
Hg2 0.0629 0.6464 0.1950
Hg3 0.7880 0.8043 0.6450
Hg4 0.9371 0.3536 0.8050
Hg5 0.2398 0.0000 0.0218
Hg6 0.7093 0.3536 0.1950
Hg7 0.4077 0.8043 0.3550
Hg8 0.7602 0.0000 0.9782
Hg9 0.2120 0.1957 0.3550
Hg10 0.5923 0.1957 0.6450
Au1 0.6661 0.6679 0.0000
Au2 0.2012 0.0000 0.6689
Au3 0.7988 0.0000 0.3311
Au4 0.3339 0.3321 0.0000
Au5 0.7507 0.4986 0.5000
Au6 0.2493 0.5014 0.5000

***

# 3
The following is a DFT calculation (meta-GGA SCAN) of a crystal of Ba2CdAu relaxed with PBEsol.

Summary:
Crystal system: tetragonal
Total moment (μB per formula unit): 0.00
Energy relative to the elements (meV/atom): -366
DOS(E_F) (states/eV per cell): 2.8

Cell: 5.4350 5.4350 5.4454 Å, 119.94 119.94 90.00°
Element x y z (fractional)
Ba1 0.7500 0.2500 0.5000
Ba2 0.0000 0.0000 0.0000
Cd1 0.5000 0.5000 0.0000
Au1 0.2500 0.7500 0.5000

***

# 4
The following is a DFT calculation (meta-GGA SCAN) of a crystal of La2Ti2Ru relaxed with PBEsol.

Summary:
Crystal system: tetragonal
Total moment (μB per formula unit): 0.00
Energy relative to the elements (meV/atom): 262
DOS(E_F) (states/eV per cell): 4.4

Cell: 3.4841 3.4841 10.0171 Å, 100.02 100.02 90.00°
Element x y z (fractional)
Ti1 0.2500 0.7500 0.5000
Ti2 0.7500 0.2500 0.5000
La1 0.5878 0.5878 0.1757
La2 0.4122 0.4122 0.8243
Ru1 0.0000 0.0000 0.0000

***

# 5
The following is a DFT calculation (meta-GGA SCAN) of a crystal of TlHg2Ir relaxed with PBEsol.

Summary:
Crystal system: orthorhombic
Total moment (μB per formula unit): 0.00
Energy relative to the elements (meV/atom): 533
DOS(E_F) (states/eV per cell): 1.7
Energy above the lowest structure with this stoichiometry (meV per atom): 221.2

Cell: 2.9886 2.9886 10.5912 Å, 90.00 90.00 119.26°
Element x y z (fractional)
Hg1 0.0000 0.0000 0.7190
Hg2 0.0000 0.0000 0.2810
Tl1 0.5000 0.5000 0.0000
Ir1 0.5000 0.5000 0.5000

***

# 6
The following is a DFT calculation (meta-GGA SCAN) of a crystal of BaLiHg2 relaxed with PBEsol.

Summary:
Crystal system: trigonal
Total moment (μB per formula unit): 0.00
Energy relative to the elements (meV/atom): -514
DOS(E_F) (states/eV per cell): 2.7

Cell: 4.7800 4.7800 6.3529 Å, 67.90 67.90 60.00°
Element x y z (fractional)
Li1 0.4358 0.4358 0.6925
Hg1 0.7772 0.7772 0.6685
Hg2 0.0430 0.0430 0.8710
Ba1 0.2440 0.2440 0.2681

***

# 7
The following is a DFT calculation (meta-GGA SCAN) of a crystal of KSb2Ru relaxed with PBEsol.

Summary:
ΔE_f (raw) (eV per formula unit): 1.1
Crystal system: cubic
Total moment (μB per formula unit): 0.00
DOS(E_F) (states/eV per cell): 1.9
Energy above the lowest structure with this stoichiometry (meV per atom): 475.5

Cell: 4.8864 4.8864 4.8864 Å, 60.00 60.00 60.00°
Element x y z (fractional)
K1 0.5000 0.5000 0.5000
Ru1 0.0000 0.0000 0.0000
Sb1 0.2500 0.2500 0.2500
Sb2 0.7500 0.7500 0.7500

***

# 8
The following is a DFT calculation (meta-GGA SCAN) of a crystal of ZrTcS2 relaxed with PBEsol.

Summary:
ΔE_f (raw) (eV per formula unit): -1.5
Crystal system: trigonal
Total moment (μB per formula unit): 0.00
DOS(E_F) (states/eV per cell): 3.1

Cell: 3.0685 3.0685 8.4940 Å, 79.59 79.59 60.00°
Element x y z (fractional)
S1 0.8980 0.8980 0.3061
S2 0.1020 0.1020 0.6939
Tc1 0.5000 0.5000 0.5000
Zr1 0.0000 0.0000 0.0000

***

# 9
The following is a DFT calculation (meta-GGA SCAN) of a crystal of Ti2FeHgOs relaxed with PBEsol.

Summary:
Crystal system: tetragonal
Total moment (μB per formula unit): 0.00
Energy relative to the elements (meV/atom): 503
DOS(E_F) (states/eV per cell): 4.7

Cell: 4.3744 4.3744 4.4467 Å, 90.00 90.00 90.00°
Element x y z (fractional)
Fe1 0.0000 0.0000 0.0000
Hg1 0.5000 0.5000 0.5000
Ti1 0.5000 0.0000 0.0000
Ti2 0.0000 0.5000 0.0000
Os1 0.0000 0.0000 0.5000

***

# 10
The following is a DFT calculation (meta-GGA SCAN) of a crystal of SrZnNiP2O8 relaxed with PBEsol.

Summary:
ΔE_f (raw) (eV per formula unit): -32.2
Crystal system: triclinic
Total moment (μB per formula unit): 1.93
DOS(E_F) (states/eV per cell): 0.0

Cell: 5.4047 6.8184 9.2149 Å, 110.67 101.66 98.07°
Site moments in Bohr magnetons follow the coordinates.
Element x y z (fractional)
O1 0.6609 0.8034 0.7625  0.04
O2 0.7368 0.9990 0.1290  0.01
O3 0.3802 0.5927 0.4006  0.03
O4 0.1924 0.4463 0.1057  0.01
O5 0.2632 0.0010 0.8710  0.01
O6 0.9947 0.7448 0.5800  0.04
O7 0.6198 0.4073 0.5994  0.03
O8 0.3806 0.0483 0.6307  0.07
O9 0.0053 0.2552 0.4200  0.04
O10 0.9500 0.1183 0.6948  0.04
O11 0.0500 0.8817 0.3052  0.04
O12 0.3391 0.1966 0.2375  0.04
O13 0.8076 0.5537 0.8943  0.01
O14 0.6720 0.4714 0.2098  0.00
O15 0.3280 0.5286 0.7902  0.00
O16 0.6194 0.9517 0.3693  0.07
P1 0.3994 0.4238 0.2369  0.00
P2 0.1572 0.9773 0.6989  0.00
P3 0.8428 0.0227 0.3011  0.00
P4 0.6006 0.5762 0.7631  0.00
Ni1 0.3592 0.1445 0.4389  1.66
Ni2 0.6408 0.8555 0.5611  1.66
Sr1 0.7535 0.2017 0.9476  0.00
Sr2 0.2465 0.7983 0.0524  0.00
Zn1 0.0132 0.6124 0.3555  0.00
Zn2 0.9868 0.3876 0.6445  0.00

***

# 11
The following is a DFT calculation (meta-GGA SCAN) of a crystal of YSbIr2 relaxed with PBEsol.

Summary:
ΔE_f (raw) (eV per formula unit): -2.1
Crystal system: orthorhombic
Total moment (μB per formula unit): 0.00
DOS(E_F) (states/eV per cell): 1.2

Cell: 3.7893 3.9429 5.5027 Å, 90.00 110.14 90.00°
Element x y z (fractional)
Y1 0.3933 0.5000 0.7865
Ir1 0.6645 0.5000 0.3290
Ir2 0.8395 0.0000 0.6790
Sb1 0.0968 0.0000 0.1935

***

# 12
The following is a DFT calculation (meta-GGA SCAN) of a crystal of YHg2Sb relaxed with PBEsol.

Summary:
ΔE_f (raw) (eV per formula unit): -1.9
Crystal system: orthorhombic
Total moment (μB per formula unit): 0.00
DOS(E_F) (states/eV per cell): 2.6

Cell: 4.4235 4.4252 5.7910 Å, 112.50 112.45 90.00°
Element x y z (fractional)
Hg1 0.7487 0.2486 0.4974
Hg2 0.9998 0.9999 0.9996
Y1 0.2510 0.7510 0.5019
Sb1 0.5005 0.5005 0.0011

***

# 13
The following is a DFT calculation (meta-GGA SCAN) of a crystal of ZnNiAg2 relaxed with PBEsol.

Summary:
Crystal system: tetragonal
Total moment (μB per formula unit): 0.00
Energy relative to the elements (meV/atom): 161
DOS(E_F) (states/eV per cell): 1.9

Cell: 2.8275 2.8275 7.1082 Å, 90.00 90.00 90.03°
Element x y z (fractional)
Zn1 0.5000 0.5000 0.0000
Ni1 0.5000 0.5000 0.5000
Ag1 0.0000 0.0000 0.7414
Ag2 0.0000 0.0000 0.2586

***

# 14
The following is a DFT calculation (meta-GGA SCAN) of a crystal of ZrRh3S relaxed with PBEsol.

Summary:
ΔE_f (raw) (eV per formula unit): 6.2
Crystal system: cubic
Total moment (μB per formula unit): 0.01
DOS(E_F) (states/eV per cell): 6.9

Cell: 4.6866 4.6866 4.6866 Å, 90.00 90.00 90.00°
Element x y z (fractional)
Zr1 0.0000 0.0000 0.0000
Rh1 0.0000 0.5000 0.0000
Rh2 0.0000 0.0000 0.5000
Rh3 0.5000 0.0000 0.0000
S1 0.5000 0.5000 0.5000

***

# 15
The following is a DFT calculation (meta-GGA SCAN) of a crystal of YGeRh2 relaxed with PBEsol.

Summary:
Crystal system: hexagonal
Total moment (μB per formula unit): 0.00
Energy relative to the elements (meV/atom): -910
DOS(E_F) (states/eV per cell): 4.6

Cell: 4.2081 4.2081 9.0494 Å, 90.00 90.00 120.00°
Element x y z (fractional)
Y1 0.6667 0.3333 0.7500
Y2 0.3333 0.6667 0.2500
Rh1 0.6667 0.3333 0.0760
Rh2 0.3333 0.6667 0.9240
Rh3 0.6667 0.3333 0.4240
Rh4 0.3333 0.6667 0.5760
Ge1 0.0000 0.0000 0.5000
Ge2 0.0000 0.0000 0.0000

***

# 16
The following is a DFT calculation (meta-GGA SCAN) of a crystal of Ta2BTeOs relaxed with PBEsol.

Summary:
ΔE_f (raw) (eV per formula unit): 4.1
Crystal system: tetragonal
Total moment (μB per formula unit): 0.00
DOS(E_F) (states/eV per cell): 3.6

Cell: 4.2530 4.2530 4.5515 Å, 90.00 90.00 90.00°
Element x y z (fractional)
B1 0.0000 0.0000 0.0000
Te1 0.0000 0.0000 0.5000
Os1 0.5000 0.5000 0.5000
Ta1 0.5000 0.0000 0.0000
Ta2 0.0000 0.5000 0.0000

***

# 17
The following is a DFT calculation (meta-GGA SCAN) of a crystal of AgIrSe relaxed with PBEsol.

Summary:
ΔE_f (raw) (eV per formula unit): 1.5
Crystal system: orthorhombic
Total moment (μB per formula unit): 0.00
DOS(E_F) (states/eV per cell): 1.6
Energy above the lowest structure with this stoichiometry (meV per atom): 0.0

Cell: 2.8392 2.8514 7.2514 Å, 84.41 78.71 60.14°
Element x y z (fractional)
Ag1 0.9923 0.0000 0.0153
Ir1 0.3261 0.0000 0.3478
Se1 0.6816 0.0000 0.6369

***

# 18
The following is a DFT calculation (meta-GGA SCAN) of a crystal of CaMnAs3 relaxed with PBEsol.

Summary:
Crystal system: cubic
Total moment (μB per formula unit): 4.69
Energy relative to the elements (meV/atom): 858
DOS(E_F) (states/eV per cell): 3.0

Cell: 5.1620 5.1620 5.1620 Å, 90.00 90.00 90.00°
Site moments in Bohr magnetons follow the coordinates.
Element x y z (fractional)
As1 0.0000 0.0000 0.5000  -0.08
As2 0.0000 0.5000 0.0000  -0.08
As3 0.5000 0.0000 0.0000  -0.08
Ca1 0.0000 0.0000 0.0000  0.03
Mn1 0.5000 0.5000 0.5000  4.72

***

# 19
The following is a DFT calculation (meta-GGA SCAN) of a crystal of Mn3PW relaxed with PBEsol.

Summary:
Crystal system: cubic
Total moment (μB per formula unit): 1.97
Energy relative to the elements (meV/atom): 636
DOS(E_F) (states/eV per cell): 2.6

Cell: 4.0006 4.0006 4.0006 Å, 90.00 90.00 90.00°
Site moments in Bohr magnetons follow the coordinates.
Element x y z (fractional)
Mn1 0.5000 0.0000 0.0000  -1.25
Mn2 0.0000 0.5000 0.0000  -1.25
Mn3 0.0000 0.0000 0.5000  -1.25
P1 0.0000 0.0000 0.0000  0.13
W1 0.5000 0.5000 0.5000  1.32

***

# 20
The following is a DFT calculation (meta-GGA SCAN) of a crystal of Os2PtSe relaxed with PBEsol.

Summary:
ΔE_f (raw) (eV per formula unit): 1.6
Crystal system: trigonal
Total moment (μB per formula unit): 0.00
DOS(E_F) (states/eV per cell): 2.8

Cell: 2.8105 2.8105 8.8589 Å, 80.87 80.87 60.00°
Element x y z (fractional)
Pt1 0.4986 0.4986 0.5041
Os1 0.9999 0.9999 0.0004
Os2 0.7461 0.7461 0.7618
Se1 0.2554 0.2554 0.2337

***

# 21
The following is a DFT calculation (meta-GGA SCAN) of a crystal of EuAl2 relaxed with PBEsol.

Summary:
Crystal system: cubic
Total moment (μB per formula unit): 7.20
Energy relative to the elements (meV/atom): -422
DOS(E_F) (states/eV per cell): 7.5

Cell: 5.6325 5.6325 5.6325 Å, 60.00 60.00 60.00°
Site moments in Bohr magnetons follow the coordinates.
Element x y z (fractional)
Al1 0.1250 0.6250 0.6250  -0.01
Al2 0.6250 0.6250 0.6250  -0.01
Al3 0.6250 0.6250 0.1250  -0.01
Al4 0.6250 0.1250 0.6250  -0.01
Eu1 0.0000 0.0000 0.0000  6.89
Eu2 0.2500 0.2500 0.2500  6.89

***

# 22
The following is a DFT calculation (meta-GGA SCAN) of a crystal of Sr2FeOs relaxed with PBEsol.

Summary:
Crystal system: cubic
Total moment (μB per formula unit): 3.91
Energy relative to the elements (meV/atom): 957
DOS(E_F) (states/eV per cell): 2.5
Energy above the lowest structure with this stoichiometry (meV per atom): 519.3

Cell: 5.0947 5.0947 5.0947 Å, 60.00 60.00 60.00°
Site moments in Bohr magnetons follow the coordinates.
Element x y z (fractional)
Sr1 0.2500 0.2500 0.2500  -0.01
Sr2 0.7500 0.7500 0.7500  -0.01
Os1 0.5000 0.5000 0.5000  0.49
Fe1 0.0000 0.0000 0.0000  3.30

***

# 23
The following is a DFT calculation (meta-GGA SCAN) of a crystal of SrI2Br relaxed with PBEsol.

Summary:
ΔE_f (raw) (eV per formula unit): -4.4
Crystal system: cubic
Total moment (μB per formula unit): 1.02
DOS(E_F) (states/eV per cell): 7.0
Energy above the lowest structure with this stoichiometry (meV per atom): 39.9

Cell: 5.7081 5.7081 5.7081 Å, 60.00 60.00 60.00°
Site moments in Bohr magnetons follow the coordinates.
Element x y z (fractional)
I1 0.2500 0.2500 0.2500  0.18
I2 0.7500 0.7500 0.7500  0.18
Sr1 0.5000 0.5000 0.5000  0.01
Br1 0.0000 0.0000 0.0000  0.35

***

# 24
The following is a DFT calculation (meta-GGA SCAN) of a crystal of YTa2Cu relaxed with PBEsol.

Summary:
Crystal system: tetragonal
Total moment (μB per formula unit): 0.00
Energy relative to the elements (meV/atom): 394
DOS(E_F) (states/eV per cell): 4.6
Energy above the lowest structure with this stoichiometry (meV per atom): 157.1

Cell: 3.9789 3.9789 4.6556 Å, 90.00 90.00 90.00°
Element x y z (fractional)
Cu1 0.0000 0.0000 0.5000
Ta1 0.5000 0.0000 0.0000
Ta2 0.0000 0.5000 0.0000
Y1 0.5000 0.5000 0.5000

***

# 25
The following is a DFT calculation (meta-GGA SCAN) of a crystal of NdCoGe3 relaxed with PBEsol.

Summary:
Crystal system: tetragonal
Total moment (μB per formula unit): 0.00
Energy relative to the elements (meV/atom): -611
DOS(E_F) (states/eV per cell): 1.6

Cell: 4.2586 4.2586 5.7260 Å, 111.83 111.83 90.00°
Element x y z (fractional)
Ge1 0.9886 0.9886 0.9773
Ge2 0.1647 0.6647 0.3294
Ge3 0.6647 0.1647 0.3294
Co1 0.7574 0.7574 0.5149
Nd1 0.4226 0.4226 0.8453

***

# 26
The following is a DFT calculation (meta-GGA SCAN) of a crystal of FeTc2Ir relaxed with PBEsol.

Summary:
Crystal system: cubic
Total moment (μB per formula unit): 4.60
Energy relative to the elements (meV/atom): 206
DOS(E_F) (states/eV per cell): 5.1
Energy above the lowest structure with this stoichiometry (meV per atom): 269.7

Cell: 4.2518 4.2518 4.2518 Å, 60.00 60.00 60.00°
Site moments in Bohr magnetons follow the coordinates.
Element x y z (fractional)
Tc1 0.2500 0.2500 0.2500  0.55
Tc2 0.7500 0.7500 0.7500  0.55
Ir1 0.5000 0.5000 0.5000  0.62
Fe1 0.0000 0.0000 0.0000  2.88

***

# 27
The following is a DFT calculation (meta-GGA SCAN) of a crystal of LaY relaxed with PBEsol.

Summary:
Crystal system: cubic
Total moment (μB per formula unit): 0.00
Energy relative to the elements (meV/atom): 71
DOS(E_F) (states/eV per cell): 2.6
Energy above the lowest structure with this stoichiometry (meV per atom): 56.3

Cell: 4.0369 4.0369 4.0369 Å, 90.00 90.00 90.00°
Element x y z (fractional)
Y1 0.5000 0.5000 0.5000
La1 0.0000 0.0000 0.0000

***

# 28
The following is a DFT calculation (meta-GGA SCAN) of a crystal of HgAs2Se2 relaxed with PBEsol.

Summary:
ΔE_f (raw) (eV per formula unit): 0.6
Crystal system: tetragonal
Total moment (μB per formula unit): 0.00
DOS(E_F) (states/eV per cell): 1.1
Energy above the lowest structure with this stoichiometry (meV per atom): 0.0

Cell: 5.2184 5.6129 5.2184 Å, 117.70 90.00 117.70°
Element x y z (fractional)
Hg1 0.0000 0.0000 0.0000
Se1 0.2500 0.5000 0.7500
Se2 0.7500 0.5000 0.2500
As1 0.6665 0.3330 0.6665
As2 0.3335 0.6670 0.3335